1.
VASP calculation (PBE) on a relaxed La6NdIn crystal.

* energy above the lowest structure with this stoichiometry: 0.0 meV/atom
* space group: P4/mmm (123)

abc: 5.139 5.139 10.427
angles: 90.00 90.00 90.00
Fractional coordinates of all 8 atoms:
La1 0.500 0.500 0.000
La2 0.500 0.500 0.500
La3 0.000 0.500 0.243
La4 0.500 0.000 0.757
La5 0.500 0.000 0.243
La6 0.000 0.500 0.757
In1 0.000 0.000 0.000
Nd1 0.000 0.000 0.500

2.
VASP calculation (PBE) on a relaxed La2Nd5In crystal.

* space group: I4/mmm (139)

abc: 5.051 5.051 11.127
angles: 103.12 103.12 90.00
Fractional coordinates of all 8 atoms:
Nd1 0.500 0.500 0.000
Nd2 0.120 0.620 0.239
Nd3 0.620 0.120 0.239
Nd4 0.380 0.880 0.761
Nd5 0.880 0.380 0.761
La1 0.747 0.747 0.495
La2 0.253 0.253 0.505
In1 0.000 0.000 0.000

Values of D(E_F), in order: 10.5, 10.7, all in states/eV/f.u..
Values of energy of formation from the pure elements, in order: -3.1, -2.5, all in kcal/mol of atoms.